VASP calculation (PBE) on RbCdN after structural relaxation.

a = 5.017 Å, b = 7.378 Å, c = 7.383 Å
α = 85.65°, β = 70.80°, γ = 70.94°
Fractional positions:
Rb: 0.000 0.000 0.000
Rb: 0.000 0.498 0.501
Cd: 0.321 0.427 0.927
Cd: 0.677 0.574 0.076
N: 0.985 0.078 0.503
N: 0.999 0.922 0.497

## Properties
- Crystal system: triclinic
- ΔE_f (raw): -3 kJ/mol of formula units
- Energy: -3.413 eV/atom
- Spin magnetization: 0.00 μB/cell



VASP calculation (PBE) on PaAlCrTc after structural relaxation.

a = 4.574 Å, b = 4.574 Å, c = 4.574 Å
α = 60.00°, β = 60.00°, γ = 60.00°
Fractional positions:
Pa: 0.000 0.000 0.000
Al: 0.500 0.500 0.500
Cr: 0.250 0.250 0.250
Tc: 0.750 0.750 0.750

## Properties
- Crystal system: cubic
- Energy: -8.493 eV/atom
- Calculated formation energy: -0.186 eV per atom
- Spin magnetization: 2.02 μB/cell



VASP calculation (PBE) on OsPbCl2 after structural relaxation.

a = 3.415 Å, b = 3.415 Å, c = 9.305 Å
α = 90.00°, β = 90.00°, γ = 120.12°
Fractional positions:
Os: 0.000 0.000 0.000
Pb: 0.500 0.500 0.752
Cl: 0.000 0.000 0.518
Cl: 0.500 0.500 0.169

## Properties
- Crystal system: orthorhombic
- ΔE_f (raw): 195 kJ/mol of formula units
- Energy: -4.152 eV/atom
- Spin magnetization: 0.00 μB/cell
- Relative energy among the computed polymorphs: 394 meV/atom